Entry from the Alexandria database: an optimized crystal structure of P3IrAu (PBE-GGA).

```
P3IrAu
1.0
4.6263 0.0000 0.0000
0.0000 4.6263 0.0000
0.0000 0.0000 4.6263
P Ir Au
3 1 1
direct
0.0000 0.5000 0.0000
0.0000 0.0000 0.5000
0.5000 0.0000 0.0000
0.0000 0.0000 0.0000
0.5000 0.5000 0.5000
```

Energy of formation from the pure elements, eV/atom: 0.83
E_tot, eV for the cell shown: -24.24
Energy above the lowest structure with this stoichiometry, kJ/mol of formula units: 0